[1]
Computed, not measured: a relaxed AcLa2Y crystal at the PBE-GGA level of DFT.

Calculated values
Energy relative to the elements in eV per atom: 0.0333
Total magnetization in μB/cell: 0.0
Symmetry: P4/mmm, No. 123
Energy above the most stable polymorph in this dataset in eV/atom: 0.0168

Cell lengths 3.799, 3.799, 10.472 Å; angles 90.00, 90.00, 90.00 degrees
Positions (direct):
La 0.000 0.000 0.238
La 0.000 0.000 0.762
Y 0.500 0.500 0.000
Ac 0.500 0.500 0.500

[2]
Computed, not measured: a relaxed Ac3LaY12 crystal at the PBE-GGA level of DFT.

Calculated values
Energy relative to the elements in eV per atom: 0.0504
Total magnetization in μB/cell: 0.0
Symmetry: P4/mmm, No. 123

Cell lengths 5.181, 5.181, 20.710 Å; angles 90.00, 90.00, 90.00 degrees
Positions (direct):
Y 0.000 0.500 0.122
Y 0.500 0.000 0.878
Y 0.000 0.500 0.626
Y 0.000 0.500 0.878
Y 0.500 0.000 0.122
Y 0.500 0.500 0.500
Y 0.500 0.500 0.752
Y 0.500 0.500 0.000
Y 0.000 0.500 0.374
Y 0.500 0.000 0.626
Y 0.500 0.500 0.248
Y 0.500 0.000 0.374
Ac 0.000 0.000 0.248
Ac 0.000 0.000 0.752
Ac 0.000 0.000 0.500
La 0.000 0.000 0.000

[3]
Computed, not measured: a relaxed Ac2La4Y3 crystal at the PBE-GGA level of DFT.

Calculated values
Energy relative to the elements in eV per atom: 0.0913
Total magnetization in μB/cell: 0.0
Symmetry: C2/c, No. 15

Cell lengths 6.354, 10.561, 10.561 Å; angles 70.88, 83.34, 83.34 degrees
Positions (direct):
Y 0.402 0.282 0.042
Y 0.098 0.958 0.718
Y 0.902 0.042 0.282
Y 0.598 0.718 0.958
Y 0.750 0.637 0.363
Y 0.250 0.363 0.637
La 0.850 0.404 0.126
La 0.350 0.126 0.404
La 0.973 0.171 0.935
La 0.650 0.874 0.596
La 0.527 0.065 0.829
La 0.027 0.829 0.065
La 0.473 0.935 0.171
La 0.150 0.596 0.874
Ac 0.698 0.497 0.735
Ac 0.302 0.503 0.265
Ac 0.802 0.265 0.503
Ac 0.198 0.735 0.497

[4]
Computed, not measured: a relaxed Ac5La4Y crystal at the PBE-GGA level of DFT.

Calculated values
Energy relative to the elements in eV per atom: 0.2851
Total magnetization in μB/cell: 0.0
Symmetry: Pmmn, No. 59
Energy above the most stable polymorph in this dataset in eV/atom: 0.2567

Cell lengths 8.968, 7.451, 12.944 Å; angles 90.00, 90.00, 90.00 degrees
Positions (direct):
Ac 0.358 0.249 0.149
Ac 0.642 0.749 0.351
Ac 0.072 0.500 0.000
Ac 0.358 0.751 0.851
Ac 0.358 0.751 0.149
Ac 0.928 0.000 0.500
Ac 0.642 0.251 0.351
Ac 0.642 0.749 0.649
Ac 0.642 0.251 0.649
Ac 0.358 0.249 0.851
La 0.738 0.756 0.000
La 0.011 0.500 0.261
La 0.011 0.500 0.739
La 0.262 0.744 0.500
La 0.738 0.244 0.000
La 0.989 0.000 0.239
La 0.262 0.256 0.500
La 0.989 0.000 0.761
Y 0.912 0.500 0.500
Y 0.088 0.000 0.000

[5]
Computed, not measured: a relaxed Ac2La4Y7 crystal at the PBE-GGA level of DFT.

Calculated values
Energy relative to the elements in eV per atom: 0.1720
Total magnetization in μB/cell: 0.0
Symmetry: P-31m, No. 162

Cell lengths 6.304, 6.304, 13.654 Å; angles 90.00, 90.00, 120.00 degrees
Positions (direct):
La 0.667 0.333 0.500
La 0.000 0.000 0.607
La 0.333 0.667 0.500
La 0.000 0.000 0.393
Y 0.646 0.646 0.216
Y 0.646 0.000 0.784
Y 0.354 0.000 0.216
Y 0.000 0.000 0.000
Y 0.000 0.646 0.784
Y 0.000 0.354 0.216
Y 0.354 0.354 0.784
Ac 0.667 0.333 0.000
Ac 0.333 0.667 0.000

[6]
Computed, not measured: a relaxed Ac3La2Y4 crystal at the PBE-GGA level of DFT.

Calculated values
Energy relative to the elements in eV per atom: 0.0912
Total magnetization in μB/cell: 0.0
Symmetry: C2/m, No. 12

Cell lengths 6.034, 9.218, 6.766 Å; angles 105.68, 90.00, 109.10 degrees
Positions (direct):
Y 0.439 0.879 0.255
Y 0.767 0.533 0.862
Y 0.233 0.467 0.138
Y 0.561 0.121 0.745
La 0.357 0.714 0.720
La 0.643 0.286 0.280
Ac 0.133 0.265 0.579
Ac 0.867 0.735 0.421
Ac 0.000 0.000 0.000

[7]
Computed, not measured: a relaxed Ac6LaY crystal at the PBE-GGA level of DFT.

Calculated values
Energy relative to the elements in eV per atom: 0.1035
Total magnetization in μB/cell: 0.0
Symmetry: C2/m, No. 12
Energy above the most stable polymorph in this dataset in eV/atom: 0.0796

Cell lengths 6.426, 9.301, 9.287 Å; angles 41.51, 69.76, 69.79 degrees
Positions (direct):
Y 0.500 0.500 0.500
Ac 0.878 0.585 0.659
Ac 0.747 0.200 0.305
Ac 0.623 0.833 0.920
Ac 0.377 0.167 0.080
Ac 0.122 0.415 0.341
Ac 0.253 0.800 0.695
La 0.000 0.000 0.000

[8]
Computed, not measured: a relaxed Ac2La3Y4 crystal at the PBE-GGA level of DFT.

Calculated values
Energy relative to the elements in eV per atom: 0.0815
Total magnetization in μB/cell: 0.0
Symmetry: P3m1, No. 156
Energy above the most stable polymorph in this dataset in eV/atom: 0.0000

Cell lengths 3.735, 3.735, 27.573 Å; angles 90.00, 90.00, 120.00 degrees
Positions (direct):
Y 0.667 0.333 0.439
Y 0.667 0.333 0.225
Y 0.000 0.000 0.754
Y 0.000 0.000 0.539
La 0.000 0.000 0.983
La 0.000 0.000 0.329
La 0.667 0.333 0.647
Ac 0.667 0.333 0.097
Ac 0.667 0.333 0.864